The following is a DFT calculation (PBE) of Tb5SmAu6 after structural relaxation.

Values from the calculation:
* mass density: 12.333 g cm⁻³
* calculated formation energy: -0.842 eV/atom
* total magnetic moment: 0.000 μB/atom

Cell and atoms, written as CIF:
```
data_Tb5SmAu6
_symmetry_space_group_name_H-M 'P 1 2/m 1'
_symmetry_Int_Tables_number 10
_symmetry_space_group_name_Hall '-P 2y'
_cell_length_a 5.144
_cell_length_b 7.198
_cell_length_c 8.143
_cell_angle_alpha 90.00
_cell_angle_beta 108.26
_cell_angle_gamma 90.00
loop_
_atom_site_label
_atom_site_type_symbol
_atom_site_fract_x
_atom_site_fract_y
_atom_site_fract_z
Tb1 Tb 0.000 0.000 0.000
Tb2 Tb 0.333 0.000 0.668
Tb3 Tb 0.333 0.500 0.666
Sm1 Sm 0.000 0.500 0.000
Au1 Au 0.170 0.248 0.338
Au2 Au 0.500 0.244 0.000
```